[1]
# ScGaAsBr2 | Alexandria via LeMat-Bulk | GGA-PBE | optimized geometry
data_ScGaAsBr2
_chemical_formula_sum 'Sc1 Ga1 As1 Br2'
_symmetry_space_group_name_H-M 'P 4/m m m'
_symmetry_Int_Tables_number 123
_symmetry_space_group_name_Hall '-P 4 2'
_cell_length_a 5.074
_cell_length_b 5.074
_cell_length_c 5.128
_cell_angle_alpha 90.00
_cell_angle_beta 90.00
_cell_angle_gamma 90.00
loop_
_atom_site_label
_atom_site_fract_x
_atom_site_fract_y
_atom_site_fract_z
Sc1 0.000 0.000 0.000
Ga1 0.500 0.500 0.500
As1 0.500 0.500 0.000
Br1 0.000 0.500 0.500
# Crystal system = tetragonal
# Relative energy among the computed polymorphs = 0.524 eV per atom
# Raw total energy = -3.538 eV per atom
# Spin magnetization = 0.081 μB per atom

[2]
# Cr2PbCl | Alexandria via LeMat-Bulk | GGA-PBE | optimized geometry
data_Cr2PbCl
_chemical_formula_sum 'Cr4 Pb2 Cl2'
_symmetry_space_group_name_H-M 'I m m 2'
_symmetry_Int_Tables_number 44
_cell_length_a 3.268
_cell_length_b 4.958
_cell_length_c 10.860
_cell_angle_alpha 90.00
_cell_angle_beta 90.00
_cell_angle_gamma 90.00
loop_
_symmetry_equiv_pos_as_xyz
'x,y,z'
'-x,-y,z'
'-x,y,z'
'x,-y,z'
'x+1/2,y+1/2,z+1/2'
'-x+1/2,-y+1/2,z+1/2'
'-x+1/2,y+1/2,z+1/2'
'x+1/2,-y+1/2,z+1/2'
loop_
_atom_site_label
_atom_site_fract_x
_atom_site_fract_y
_atom_site_fract_z
Cr1 0.000 0.000 0.000
Cr2 0.000 0.500 0.321
Pb1 0.000 0.500 0.851
Cl1 0.000 0.000 0.633
# Crystal system = orthorhombic
# Relative energy among the computed polymorphs = 0.279 eV per atom
# Raw total energy = -5.856 eV per atom
# Spin magnetization = 0.111 μB per atom

[3]
# ZrZn2 | Alexandria via LeMat-Bulk | GGA-PBE | optimized geometry
data_ZrZn2
_chemical_formula_sum 'Zr4 Zn8'
_symmetry_space_group_name_H-M 'C m c m'
_symmetry_Int_Tables_number 63
_symmetry_space_group_name_Hall '-C 2c 2'
_cell_length_a 4.124
_cell_length_b 11.777
_cell_length_c 4.279
_cell_angle_alpha 90.00
_cell_angle_beta 90.00
_cell_angle_gamma 90.00
loop_
_atom_site_label
_atom_site_fract_x
_atom_site_fract_y
_atom_site_fract_z
Zr1 0.000 0.091 0.250
Zn1 0.000 0.246 0.750
Zn2 0.000 0.406 0.250
# Crystal system = orthorhombic
# Energy of formation = -55 kJ/mol of formula units
# Raw total energy = -3.889 eV per atom
# Spin magnetization = 0.000 μB per atom

[4]
# Mg2PRhPb | Alexandria via LeMat-Bulk | GGA-PBE | optimized geometry
data_Mg2PRhPb
_chemical_formula_sum 'Mg2 P1 Rh1 Pb1'
_symmetry_space_group_name_H-M 'P 4/m m m'
_symmetry_Int_Tables_number 123
_symmetry_space_group_name_Hall '-P 4 2'
_cell_length_a 4.909
_cell_length_b 4.909
_cell_length_c 5.075
_cell_angle_alpha 90.00
_cell_angle_beta 90.00
_cell_angle_gamma 90.00
loop_
_atom_site_label
_atom_site_fract_x
_atom_site_fract_y
_atom_site_fract_z
Mg1 0.000 0.500 0.000
P1 0.000 0.000 0.500
Rh1 0.500 0.500 0.000
Pb1 0.500 0.500 0.500
# Crystal system = tetragonal
# Energy of formation = 87 kJ/mol of formula units
# Raw total energy = -3.752 eV per atom
# Spin magnetization = 0.000 μB per atom